A relaxed structure of Tl3Cd3Hg4. Source: Alexandria via LeMat-Bulk, functional PBE.

Cell: 9.022 9.022 9.022 Å, 109.47 109.47 109.47°
Positions (direct):
Tl1 0.125 0.875 0.250
Tl2 0.250 0.125 0.875
Tl3 0.375 0.625 0.750
Tl4 0.625 0.750 0.375
Tl5 0.750 0.375 0.625
Tl6 0.875 0.250 0.125
Cd1 0.125 0.750 0.875
Cd2 0.250 0.625 0.375
Cd3 0.375 0.250 0.625
Cd4 0.625 0.375 0.250
Cd5 0.750 0.875 0.125
Cd6 0.875 0.125 0.750
Hg1 0.000 0.211 0.500
Hg2 0.000 0.711 0.500
Hg3 0.211 0.500 0.000
Hg4 0.289 0.289 0.289
Hg5 0.500 0.000 0.211
Hg6 0.500 0.000 0.711
Hg7 0.711 0.500 0.000
Hg8 0.789 0.789 0.789

Output
E_tot ... -21.27 eV for the cell shown
Magnetic moment ... 0.0 μB/f.u.
Density of states at the Fermi level ... 3.38 states/eV/f.u.
Space group ... No. 220

***

A relaxed structure of Tl3CdHg3. Source: Alexandria via LeMat-Bulk, functional PBE.

Cell: 6.352 6.352 10.609 Å, 94.62 94.62 106.94°
Positions (direct):
Tl1 0.164 0.836 0.000
Tl2 0.310 0.690 0.500
Tl3 0.484 0.484 0.152
Tl4 0.516 0.516 0.848
Tl5 0.690 0.310 0.500
Tl6 0.836 0.164 0.000
Cd1 0.194 0.194 0.574
Cd2 0.806 0.806 0.426
Hg1 0.002 0.559 0.232
Hg2 0.129 0.129 0.287
Hg3 0.441 0.998 0.768
Hg4 0.559 0.002 0.232
Hg5 0.871 0.871 0.713
Hg6 0.998 0.441 0.768

Output
E_tot ... -17.62 eV for the cell shown
Magnetic moment ... 0.0 μB/f.u.
Density of states at the Fermi level ... 2.66 states/eV/f.u.
Space group ... No. 12

***

A relaxed structure of Tl4CdHg2. Source: Alexandria via LeMat-Bulk, functional PBE.

Cell: 8.936 8.936 8.936 Å, 143.35 143.35 52.80°
Positions (direct):
Tl1 0.000 0.500 0.500
Tl2 0.193 0.193 0.000
Tl3 0.500 0.000 0.500
Tl4 0.807 0.807 0.000
Cd1 0.000 0.000 0.000
Hg1 0.382 0.382 0.000
Hg2 0.618 0.618 0.000

Output
E_tot ... -9.73 eV for the cell shown
Magnetic moment ... 0.0 μB/f.u.
Density of states at the Fermi level ... 3.88 states/eV/f.u.
Space group ... No. 139

***

A relaxed structure of Tl12Cd5Hg3. Source: Alexandria via LeMat-Bulk, functional PBE.

Cell: 15.346 15.346 15.346 Å, 109.47 109.47 109.47°
Positions (direct):
Tl1 0.061 0.230 0.133
Tl2 0.061 0.331 0.928
Tl3 0.072 0.633 0.403
Tl4 0.072 0.939 0.669
Tl5 0.097 0.730 0.669
Tl6 0.097 0.867 0.428
Tl7 0.133 0.061 0.230
Tl8 0.133 0.572 0.903
Tl9 0.169 0.230 0.597
Tl10 0.169 0.439 0.572
Tl11 0.230 0.133 0.061
Tl12 0.230 0.597 0.169
Tl13 0.270 0.331 0.903
Tl14 0.270 0.439 0.367
Tl15 0.331 0.903 0.270
Tl16 0.331 0.928 0.061
Tl17 0.367 0.270 0.439
Tl18 0.367 0.597 0.928
Tl19 0.403 0.072 0.633
Tl20 0.403 0.831 0.770
Tl21 0.428 0.097 0.867
Tl22 0.428 0.831 0.561
Tl23 0.439 0.367 0.270
Tl24 0.439 0.572 0.169
Tl25 0.561 0.428 0.831
Tl26 0.561 0.633 0.730
Tl27 0.572 0.169 0.439
Tl28 0.572 0.903 0.133
Tl29 0.597 0.169 0.230
Tl30 0.597 0.928 0.367
Tl31 0.633 0.403 0.072
Tl32 0.633 0.730 0.561
Tl33 0.669 0.072 0.939
Tl34 0.669 0.097 0.730
Tl35 0.730 0.561 0.633
Tl36 0.730 0.669 0.097
Tl37 0.770 0.403 0.831
Tl38 0.770 0.867 0.939
Tl39 0.831 0.561 0.428
Tl40 0.831 0.770 0.403
Tl41 0.867 0.428 0.097
Tl42 0.867 0.939 0.770
Tl43 0.903 0.133 0.572
Tl44 0.903 0.270 0.331
Tl45 0.928 0.061 0.331
Tl46 0.928 0.367 0.597
Tl47 0.939 0.669 0.072
Tl48 0.939 0.770 0.867
Cd1 0.000 0.000 0.000
Cd2 0.000 0.000 0.500
Cd3 0.000 0.500 0.000
Cd4 0.000 0.500 0.500
Cd5 0.125 0.750 0.875
Cd6 0.125 0.875 0.250
Cd7 0.250 0.125 0.875
Cd8 0.250 0.625 0.375
Cd9 0.375 0.250 0.625
Cd10 0.375 0.625 0.750
Cd11 0.500 0.000 0.000
Cd12 0.500 0.000 0.500
Cd13 0.500 0.500 0.000
Cd14 0.500 0.500 0.500
Cd15 0.625 0.375 0.250
Cd16 0.625 0.750 0.375
Cd17 0.750 0.375 0.625
Cd18 0.750 0.875 0.125
Cd19 0.875 0.125 0.750
Cd20 0.875 0.250 0.125
Hg1 0.125 0.250 0.375
Hg2 0.125 0.375 0.750
Hg3 0.250 0.375 0.125
Hg4 0.250 0.875 0.625
Hg5 0.375 0.125 0.250
Hg6 0.375 0.750 0.125
Hg7 0.625 0.250 0.875
Hg8 0.625 0.875 0.750
Hg9 0.750 0.125 0.375
Hg10 0.750 0.625 0.875
Hg11 0.875 0.625 0.250
Hg12 0.875 0.750 0.625

Output
E_tot ... -120.20 eV for the cell shown
Magnetic moment ... 0.0 μB/f.u.
Density of states at the Fermi level ... 14.53 states/eV/f.u.
Space group ... No. 230

***

A relaxed structure of Tl8CdHg3. Source: Alexandria via LeMat-Bulk, functional PBE.

Cell: 7.221 7.221 7.221 Å, 91.96 91.96 91.96°
Positions (direct):
Tl1 0.221 0.221 0.221
Tl2 0.227 0.227 0.759
Tl3 0.227 0.759 0.227
Tl4 0.241 0.773 0.773
Tl5 0.759 0.227 0.227
Tl6 0.773 0.241 0.773
Tl7 0.773 0.773 0.241
Tl8 0.779 0.779 0.779
Cd1 0.500 0.500 0.500
Hg1 0.000 0.500 0.500
Hg2 0.500 0.000 0.500
Hg3 0.500 0.500 0.000

Output
E_tot ... -20.13 eV for the cell shown
Magnetic moment ... 0.0 μB/f.u.
Density of states at the Fermi level ... 5.86 states/eV/f.u.
Space group ... No. 166

***

A relaxed structure of TlCd12Hg16. Source: Alexandria via LeMat-Bulk, functional PBE.

Cell: 10.074 10.074 9.079 Å, 108.88 108.88 107.34°
Positions (direct):
Tl1 0.000 0.000 0.000
Cd1 0.076 0.881 0.649
Cd2 0.092 0.454 0.836
Cd3 0.115 0.315 0.359
Cd4 0.280 0.846 0.460
Cd5 0.315 0.115 0.359
Cd6 0.454 0.092 0.836
Cd7 0.455 0.661 0.045
Cd8 0.506 0.506 0.524
Cd9 0.661 0.455 0.045
Cd10 0.707 0.707 0.932
Cd11 0.846 0.280 0.460
Cd12 0.881 0.076 0.649
Hg1 0.014 0.672 0.094
Hg2 0.234 0.234 0.931
Hg3 0.274 0.880 0.001
Hg4 0.286 0.536 0.234
Hg5 0.286 0.656 0.682
Hg6 0.349 0.349 0.705
Hg7 0.536 0.286 0.234
Hg8 0.544 0.957 0.364
Hg9 0.613 0.870 0.697
Hg10 0.656 0.286 0.682
Hg11 0.672 0.014 0.094
Hg12 0.699 0.699 0.385
Hg13 0.870 0.613 0.697
Hg14 0.880 0.274 0.001
Hg15 0.957 0.544 0.364
Hg16 0.970 0.970 0.349

Output
E_tot ... -17.43 eV for the cell shown
Magnetic moment ... 0.0 μB/f.u.
Density of states at the Fermi level ... 8.05 states/eV/f.u.
Space group ... No. 8